SrCa3Sn | GGA-PBE | optimized geometry

Summary:
SG: Pm-3m, No. 221
Magnetic moment (μB per formula unit): 2.0
Energy of formation (eV per formula unit): 4.6

Unit cell a=6.106 b=6.106 c=6.106 alpha=90.00 beta=90.00 gamma=90.00
Last column: magnetic moment on the atom in μB.
Positions (direct):
Ca: 0.000 0.500 0.000  0.16
Sr: 0.000 0.000 0.000  0.35
Sn: 0.500 0.500 0.500  -0.17
Ca: 0.000 0.000 0.500  0.23
Ca: 0.500 0.000 0.000  0.10